1.
Density functional theory data (GGA+U) for a relaxed structure of CaAcMoO6. Values from VASP.

Quantum ESPRESSO input file:
```
&SYSTEM
  ibrav = 0, nat = 9, ntyp = 4
/
ATOMIC_SPECIES
Ca 40.08 Ca.upf
Ac 227.00 Ac.upf
Mo 95.94 Mo.upf
O 16.00 O.upf
CELL_PARAMETERS angstrom
5.1713 0.0000 0.0000
0.1417 5.5995 0.0000
0.0692 2.7991 5.0236
ATOMIC_POSITIONS crystal
Ca 0.0000 0.0000 0.0000
Ac 0.5001 0.6758 0.6484
Mo 0.0003 0.3203 0.3595
O 0.1903 0.6043 0.0254
O 0.2065 0.0424 0.3284
O 0.2245 0.3261 0.6082
O 0.7760 0.0657 0.6077
O 0.7939 0.6291 0.3285
O 0.8117 0.3719 0.0242
```

* electronic total energy: -63.72 eV/cell
* space-group type: P1, No. 1

2.
Density functional theory data (GGA+U) for a relaxed structure of TiNiP2O8. Values from VASP.

Quantum ESPRESSO input file:
```
&SYSTEM
  ibrav = 0, nat = 36, ntyp = 4
/
ATOMIC_SPECIES
Ti 47.87 Ti.upf
Ni 58.69 Ni.upf
P 30.97 P.upf
O 16.00 O.upf
CELL_PARAMETERS angstrom
4.3053 2.4856 6.8674
-4.3053 2.4856 6.8674
0.0000 -4.9713 6.8674
ATOMIC_POSITIONS crystal
Ti 0.0000 0.0000 0.0000
Ti 0.2119 0.2119 0.2119
Ti 0.7091 0.7091 0.7091
Ni 0.3569 0.3569 0.3569
Ni 0.4955 0.4955 0.4955
Ni 0.8560 0.8560 0.8560
P 0.1034 0.8097 0.4018
P 0.3080 0.6016 0.8975
P 0.4018 0.1034 0.8097
P 0.6016 0.8975 0.3080
P 0.8097 0.4018 0.1034
P 0.8975 0.3080 0.6016
O 0.0211 0.8719 0.2448
O 0.0986 0.2988 0.4434
O 0.1097 0.7645 0.9246
O 0.1708 0.9734 0.3537
O 0.2448 0.0211 0.8719
O 0.2584 0.6166 0.4034
O 0.2988 0.4434 0.0986
O 0.3390 0.5388 0.7454
O 0.3537 0.1708 0.9734
O 0.4034 0.2584 0.6166
O 0.4434 0.0986 0.2988
O 0.4727 0.6697 0.8499
O 0.5388 0.7454 0.3390
O 0.5991 0.9424 0.7999
O 0.6166 0.4034 0.2584
O 0.6697 0.8499 0.4727
O 0.7454 0.3390 0.5388
O 0.7645 0.9246 0.1097
O 0.7999 0.5991 0.9424
O 0.8499 0.4727 0.6697
O 0.8719 0.2448 0.0211
O 0.9246 0.1097 0.7645
O 0.9424 0.7999 0.5991
O 0.9734 0.3537 0.1708
```

* electronic total energy: -264.17 eV/cell
* space-group type: R3, No. 146

Copy entry 2 word for word.
Density functional theory data (GGA+U) for a relaxed structure of TiNiP2O8. Values from VASP.

Quantum ESPRESSO input file:
```
&SYSTEM
  ibrav = 0, nat = 36, ntyp = 4
/
ATOMIC_SPECIES
Ti 47.87 Ti.upf
Ni 58.69 Ni.upf
P 30.97 P.upf
O 16.00 O.upf
CELL_PARAMETERS angstrom
4.3053 2.4856 6.8674
-4.3053 2.4856 6.8674
0.0000 -4.9713 6.8674
ATOMIC_POSITIONS crystal
Ti 0.0000 0.0000 0.0000
Ti 0.2119 0.2119 0.2119
Ti 0.7091 0.7091 0.7091
Ni 0.3569 0.3569 0.3569
Ni 0.4955 0.4955 0.4955
Ni 0.8560 0.8560 0.8560
P 0.1034 0.8097 0.4018
P 0.3080 0.6016 0.8975
P 0.4018 0.1034 0.8097
P 0.6016 0.8975 0.3080
P 0.8097 0.4018 0.1034
P 0.8975 0.3080 0.6016
O 0.0211 0.8719 0.2448
O 0.0986 0.2988 0.4434
O 0.1097 0.7645 0.9246
O 0.1708 0.9734 0.3537
O 0.2448 0.0211 0.8719
O 0.2584 0.6166 0.4034
O 0.2988 0.4434 0.0986
O 0.3390 0.5388 0.7454
O 0.3537 0.1708 0.9734
O 0.4034 0.2584 0.6166
O 0.4434 0.0986 0.2988
O 0.4727 0.6697 0.8499
O 0.5388 0.7454 0.3390
O 0.5991 0.9424 0.7999
O 0.6166 0.4034 0.2584
O 0.6697 0.8499 0.4727
O 0.7454 0.3390 0.5388
O 0.7645 0.9246 0.1097
O 0.7999 0.5991 0.9424
O 0.8499 0.4727 0.6697
O 0.8719 0.2448 0.0211
O 0.9246 0.1097 0.7645
O 0.9424 0.7999 0.5991
O 0.9734 0.3537 0.1708
```

* electronic total energy: -264.17 eV/cell
* space-group type: R3, No. 146

What is the electronic total energy in the second record? -264.17 eV/cell